# 1
# BaMg9Zn2

Crystalline BaMg9Zn2 at its relaxed geometry (PBE-GGA, the Alexandria database).

Output
ΔH_f (0 K)   -0.11 eV per atom
Uncorrected energy   -1.676 eV per atom

a b c (Å): 9.4120 9.4120 9.4120
angles (deg): 99.96 99.96 130.85
Fractional positions:
Ba (0.3750, 0.6250, 0.7500)
Ba (0.6250, 0.3750, 0.2500)
Mg (0.1250, 0.8750, 0.2500)
Mg (0.1410, 0.5660, 0.3267)
Mg (0.1410, 0.8143, 0.5750)
Mg (0.1857, 0.2606, 0.3267)
Mg (0.1857, 0.8590, 0.9250)
Mg (0.2606, 0.1857, 0.8267)
Mg (0.2606, 0.4340, 0.0750)
Mg (0.4340, 0.2606, 0.5750)
Mg (0.4340, 0.8590, 0.1733)
Mg (0.5660, 0.1410, 0.8267)
Mg (0.5660, 0.7394, 0.4250)
Mg (0.7394, 0.5660, 0.9250)
Mg (0.7394, 0.8143, 0.1733)
Mg (0.8143, 0.1410, 0.0750)
Mg (0.8143, 0.7394, 0.6733)
Mg (0.8590, 0.1857, 0.4250)
Mg (0.8590, 0.4340, 0.6733)
Mg (0.8750, 0.1250, 0.7500)
Zn (0.0000, 0.0000, 0.0000)
Zn (0.0000, 0.0000, 0.5000)
Zn (0.0000, 0.5000, 0.0000)
Zn (0.5000, 0.0000, 0.5000)

=====

# 2
# Cs3AlTc

Crystalline Cs3AlTc at its relaxed geometry (PBE-GGA, the Alexandria database).

Output
ΔH_f (0 K)   1.41 eV per atom
Uncorrected energy   -1.927 eV per atom

a b c (Å): 7.1450 7.1450 7.1450
angles (deg): 90.00 90.00 90.00
Fractional positions:
Cs (0.0000, 0.0000, 0.5000)
Cs (0.0000, 0.5000, 0.0000)
Cs (0.5000, 0.0000, 0.0000)
Al (0.0000, 0.0000, 0.0000)
Tc (0.5000, 0.5000, 0.5000)

=====

# 3
# HfGePd

Crystalline HfGePd at its relaxed geometry (PBE-GGA, the Alexandria database).

Output
ΔH_f (0 K)   -0.83 eV per atom
Uncorrected energy   -7.414 eV per atom

a b c (Å): 6.7154 3.9615 11.5461
angles (deg): 90.00 90.11 90.00
Fractional positions:
Hf (0.0313, 0.2500, 0.2078)
Hf (0.3383, 0.7500, 0.5796)
Hf (0.4662, 0.7500, 0.8781)
Hf (0.5338, 0.2500, 0.1219)
Hf (0.6617, 0.2500, 0.4204)
Hf (0.9687, 0.7500, 0.7922)
Ge (0.2516, 0.2500, 0.4162)
Ge (0.2518, 0.7500, 0.0848)
Ge (0.2611, 0.2500, 0.7502)
Ge (0.7389, 0.7500, 0.2498)
Ge (0.7482, 0.2500, 0.9152)
Ge (0.7484, 0.7500, 0.5838)
Pd (0.0032, 0.2500, 0.5910)
Pd (0.1424, 0.2500, 0.9589)
Pd (0.3729, 0.7500, 0.2946)
Pd (0.6271, 0.2500, 0.7054)
Pd (0.8576, 0.7500, 0.0411)
Pd (0.9968, 0.7500, 0.4090)

=====

# 4
# Cs3GeH

Crystalline Cs3GeH at its relaxed geometry (PBE-GGA, the Alexandria database).

Output
Uncorrected energy   -2.028 eV per atom

a b c (Å): 6.0278 6.0278 6.0278
angles (deg): 90.00 90.00 90.00
Fractional positions:
Cs (0.0000, 0.0000, 0.5000)
Cs (0.0000, 0.5000, 0.0000)
Cs (0.5000, 0.0000, 0.0000)
Ge (0.5000, 0.5000, 0.5000)
H (0.0000, 0.0000, 0.0000)

=====

# 5
# LiNd2GePt6

Crystalline LiNd2GePt6 at its relaxed geometry (PBE-GGA, the Alexandria database).

Output
ΔH_f (0 K)   -0.70 eV per atom
Uncorrected energy   -5.927 eV per atom

a b c (Å): 5.7055 5.7055 8.6650
angles (deg): 109.27 109.27 60.01
Fractional positions:
Li (0.0000, 0.0000, 0.0000)
Nd (0.2044, 0.2044, 0.6129)
Nd (0.7956, 0.7956, 0.3871)
Ge (0.5000, 0.5000, 0.5000)
Pt (0.2312, 0.7481, 0.7266)
Pt (0.2520, 0.2520, 0.2735)
Pt (0.2519, 0.7688, 0.2734)
Pt (0.7481, 0.2312, 0.7266)
Pt (0.7480, 0.7480, 0.7265)
Pt (0.7688, 0.2519, 0.2734)

=====

# 6
# Li3NdAu2

Crystalline Li3NdAu2 at its relaxed geometry (PBE-GGA, the Alexandria database).

Output
ΔH_f (0 K)   -0.51 eV per atom
Uncorrected energy   -3.350 eV per atom

a b c (Å): 7.5622 7.5622 8.6831
angles (deg): 117.61 117.61 32.78
Fractional positions:
Li (0.0597, 0.0597, 0.3977)
Li (0.2872, 0.2872, 0.4647)
Li (0.4163, 0.4163, 0.3141)
Li (0.5837, 0.5837, 0.6859)
Li (0.7128, 0.7128, 0.5353)
Li (0.9403, 0.9403, 0.6023)
Nd (0.1340, 0.1340, 0.0219)
Nd (0.8660, 0.8660, 0.9781)
Au (0.2068, 0.2068, 0.7337)
Au (0.4429, 0.4429, 0.7998)
Au (0.5571, 0.5571, 0.2002)
Au (0.7932, 0.7932, 0.2663)

=====

# 7
# KRu2

Crystalline KRu2 at its relaxed geometry (PBE-GGA, the Alexandria database).

Output
ΔH_f (0 K)   0.56 eV per atom
Uncorrected energy   -5.994 eV per atom

a b c (Å): 2.7894 4.2791 12.3000
angles (deg): 90.00 93.85 90.00
Fractional positions:
K (0.0000, 0.0000, 0.0000)
K (0.3251, 0.5000, 0.6561)
Ru (0.1376, 0.0000, 0.2636)
Ru (0.1714, 0.5000, 0.3925)
Ru (0.6184, 0.5000, 0.2100)
Ru (0.6909, 0.0000, 0.4460)

=====

# 8
# Rb2PAuSe4

Crystalline Rb2PAuSe4 at its relaxed geometry (PBE-GGA, the Alexandria database).

Output
Uncorrected energy   -3.598 eV per atom
Energy relative to the elements, uncorrected   -0.53 eV/atom

a b c (Å): 14.0258 12.8422 7.3789
angles (deg): 83.14 65.37 31.49
Fractional positions:
Rb (0.0570, 0.0570, 0.6930)
Rb (0.3070, 0.3070, 0.9430)
Rb (0.6930, 0.6930, 0.0570)
Rb (0.9430, 0.9430, 0.3070)
P (0.3750, 0.3750, 0.3750)
P (0.6250, 0.6250, 0.6250)
Au (0.1250, 0.1250, 0.1250)
Au (0.8750, 0.8750, 0.8750)
Se (0.0282, 0.6198, 0.5274)
Se (0.3247, 0.5274, 0.6198)
Se (0.3802, 0.9718, 0.6753)
Se (0.4726, 0.6753, 0.9718)
Se (0.5274, 0.3247, 0.0282)
Se (0.6198, 0.0282, 0.3247)
Se (0.6753, 0.4726, 0.3802)
Se (0.9718, 0.3802, 0.4726)

=====

# 9
# ReNi2AuN

Crystalline ReNi2AuN at its relaxed geometry (PBE-GGA, the Alexandria database).

Output
Uncorrected energy   -6.954 eV per atom
Energy relative to the elements, uncorrected   0.17 eV/atom

a b c (Å): 3.9583 3.9583 3.9388
angles (deg): 90.00 90.00 90.00
Fractional positions:
Re (0.0000, 0.0000, 0.0000)
Ni (0.0000, 0.5000, 0.5000)
Ni (0.5000, 0.0000, 0.5000)
Au (0.5000, 0.5000, 0.0000)
N (0.0000, 0.0000, 0.5000)

=====

# 10
# LiBi12O20

Crystalline LiBi12O20 at its relaxed geometry (PBE-GGA, the Alexandria database).

Output
Uncorrected energy   -5.603 eV per atom
Energy relative to the elements, uncorrected   -1.13 eV/atom

a b c (Å): 8.8043 8.8043 8.8043
angles (deg): 109.47 109.47 109.47
Fractional positions:
Li (0.0000, 0.0000, 0.0000)
Bi (0.1414, 0.8304, 0.3161)
Bi (0.1696, 0.3110, 0.4856)
Bi (0.1746, 0.6890, 0.8586)
Bi (0.3110, 0.4856, 0.1696)
Bi (0.3161, 0.1414, 0.8304)
Bi (0.4856, 0.1696, 0.3110)
Bi (0.5144, 0.8254, 0.6839)
Bi (0.6839, 0.5144, 0.8254)
Bi (0.6890, 0.8586, 0.1746)
Bi (0.8254, 0.6839, 0.5144)
Bi (0.8304, 0.3161, 0.1414)
Bi (0.8586, 0.1746, 0.6890)
O (0.0000, 0.0000, 0.3666)
O (0.0000, 0.0000, 0.7561)
O (0.0000, 0.3666, 0.0000)
O (0.0000, 0.7561, 0.0000)
O (0.1164, 0.3593, 0.7366)
O (0.2429, 0.8836, 0.6201)
O (0.2439, 0.2439, 0.2439)
O (0.2634, 0.6227, 0.3799)
O (0.3593, 0.7366, 0.1164)
O (0.3666, 0.0000, 0.0000)
O (0.3773, 0.6407, 0.7571)
O (0.3799, 0.2634, 0.6227)
O (0.6201, 0.2429, 0.8836)
O (0.6227, 0.3799, 0.2634)
O (0.6334, 0.6334, 0.6334)
O (0.6407, 0.7571, 0.3773)
O (0.7366, 0.1164, 0.3593)
O (0.7561, 0.0000, 0.0000)
O (0.7571, 0.3773, 0.6407)
O (0.8836, 0.6201, 0.2429)

=====

# 11
# CrIn3I

Crystalline CrIn3I at its relaxed geometry (PBE-GGA, the Alexandria database).

Output
Uncorrected energy   -3.641 eV per atom
E above lowest polymorph   0 meV/atom
Energy relative to the elements, uncorrected   0.24 eV/atom

a b c (Å): 5.4076 5.4076 5.4076
angles (deg): 90.00 90.00 90.00
Fractional positions:
Cr (0.0000, 0.0000, 0.0000)
In (0.0000, 0.0000, 0.5000)
In (0.0000, 0.5000, 0.0000)
In (0.5000, 0.0000, 0.0000)
I (0.5000, 0.5000, 0.5000)

=====

# 12
# La3PrSm6

Crystalline La3PrSm6 at its relaxed geometry (PBE-GGA, the Alexandria database).

Output
ΔH_f (0 K)   0.14 eV per atom
Uncorrected energy   -4.652 eV per atom

a b c (Å): 11.2563 11.2563 6.4623
angles (deg): 90.00 90.00 120.60
Fractional positions:
La (0.1141, 0.8859, 0.5000)
La (0.2094, 0.4413, 0.8857)
La (0.4413, 0.2094, 0.3857)
La (0.5587, 0.7906, 0.8857)
La (0.7906, 0.5587, 0.3857)
La (0.8859, 0.1141, 0.0000)
Pr (0.3105, 0.6895, 0.5301)
Pr (0.6895, 0.3105, 0.0301)
Sm (0.0285, 0.4466, 0.2941)
Sm (0.1264, 0.2133, 0.4726)
Sm (0.2133, 0.1264, 0.9726)
Sm (0.2211, 0.7789, 0.0653)
Sm (0.4466, 0.0285, 0.7941)
Sm (0.4656, 0.5344, 0.2875)
Sm (0.5344, 0.4656, 0.7875)
Sm (0.5534, 0.9715, 0.2941)
Sm (0.7789, 0.2211, 0.5653)
Sm (0.7867, 0.8736, 0.4726)
Sm (0.8736, 0.7867, 0.9726)
Sm (0.9715, 0.5534, 0.7941)

=====

# 13
# Th2CuPb

Crystalline Th2CuPb at its relaxed geometry (PBE-GGA, the Alexandria database).

Output
ΔH_f (0 K)   -0.18 eV per atom
Uncorrected energy   -5.837 eV per atom

a b c (Å): 6.3871 4.1953 8.8072
angles (deg): 90.00 110.40 90.00
Fractional positions:
Th (0.1796, 0.2500, 0.3997)
Th (0.2496, 0.7500, 0.0511)
Th (0.7504, 0.2500, 0.9489)
Th (0.8204, 0.7500, 0.6003)
Cu (0.1398, 0.2500, 0.7857)
Cu (0.8602, 0.7500, 0.2143)
Pb (0.3770, 0.7500, 0.7084)
Pb (0.6230, 0.2500, 0.2916)

=====

# 14
# La6NdEr2Sc

Crystalline La6NdEr2Sc at its relaxed geometry (PBE-GGA, the Alexandria database).

Output
ΔH_f (0 K)   0.21 eV per atom
Uncorrected energy   -4.766 eV per atom

a b c (Å): 6.7814 6.7814 8.8842
angles (deg): 102.20 102.20 62.28
Fractional positions:
La (0.0971, 0.5838, 0.1970)
La (0.1376, 0.1376, 0.4040)
La (0.4162, 0.9029, 0.8030)
La (0.5838, 0.0971, 0.1970)
La (0.8624, 0.8624, 0.5960)
La (0.9029, 0.4162, 0.8030)
Nd (0.5000, 0.5000, 0.5000)
Er (0.4039, 0.4039, 0.8379)
Er (0.5961, 0.5961, 0.1621)
Sc (0.0000, 0.0000, 0.0000)

=====

# 15
# PmPu3Bi4

Crystalline PmPu3Bi4 at its relaxed geometry (PBE-GGA, the Alexandria database).

Output
ΔH_f (0 K)   -0.47 eV per atom
Uncorrected energy   -8.375 eV per atom

a b c (Å): 7.8826 9.1046 7.8767
angles (deg): 90.00 109.45 90.00
Fractional positions:
Pm (0.0000, 0.1240, 0.2500)
Pm (0.0000, 0.8760, 0.7500)
Pu (0.0000, 0.3744, 0.7500)
Pu (0.0000, 0.6256, 0.2500)
Pu (0.5000, 0.1242, 0.7500)
Pu (0.5000, 0.3747, 0.2500)
Pu (0.5000, 0.6253, 0.7500)
Pu (0.5000, 0.8758, 0.2500)
Bi (0.2514, 0.3766, 0.5014)
Bi (0.2514, 0.6234, 0.0014)
Bi (0.2529, 0.1265, 0.9996)
Bi (0.2529, 0.8735, 0.4996)
Bi (0.7471, 0.1265, 0.5004)
Bi (0.7471, 0.8735, 0.0004)
Bi (0.7486, 0.3766, 0.9986)
Bi (0.7486, 0.6234, 0.4986)

=====

# 16
# YCdNF2

Crystalline YCdNF2 at its relaxed geometry (PBE-GGA, the Alexandria database).

Output
Uncorrected energy   -5.632 eV per atom
E above lowest polymorph   0 meV/atom
Energy relative to the elements, uncorrected   -1.74 eV/atom

a b c (Å): 4.3104 4.3104 4.7276
angles (deg): 90.00 90.00 90.00
Fractional positions:
Y (0.0000, 0.0000, 0.0000)
Cd (0.5000, 0.5000, 0.5000)
N (0.0000, 0.0000, 0.5000)
F (0.0000, 0.5000, 0.0000)
F (0.5000, 0.0000, 0.0000)

=====

# 17
# MgNp2Si4Ir3

Crystalline MgNp2Si4Ir3 at its relaxed geometry (PBE-GGA, the Alexandria database).

Output
Uncorrected energy   -8.129 eV per atom
Energy relative to the elements, uncorrected   -0.55 eV/atom

a b c (Å): 4.1280 4.1280 10.2366
angles (deg): 90.00 90.00 90.00
Fractional positions:
Mg (0.0000, 0.0000, 0.0000)
Np (0.0000, 0.5000, 0.7397)
Np (0.5000, 0.0000, 0.2603)
Si (0.0000, 0.0000, 0.5000)
Si (0.0000, 0.5000, 0.1455)
Si (0.5000, 0.0000, 0.8545)
Si (0.5000, 0.5000, 0.5000)
Ir (0.0000, 0.5000, 0.3771)
Ir (0.5000, 0.0000, 0.6229)
Ir (0.5000, 0.5000, 0.0000)

=====

# 18
# TbNpN

Crystalline TbNpN at its relaxed geometry (PBE-GGA, the Alexandria database).

Output
Uncorrected energy   -9.237 eV per atom
E above lowest polymorph   0 meV/atom
Energy relative to the elements, uncorrected   -0.60 eV/atom

a b c (Å): 3.4795 3.3939 9.1261
angles (deg): 90.00 92.05 90.00
Fractional positions:
Tb (0.2382, 0.2500, 0.3706)
Tb (0.7618, 0.7500, 0.6294)
Np (0.3451, 0.7500, 0.9319)
Np (0.6549, 0.2500, 0.0681)
N (0.2612, 0.2500, 0.6314)
N (0.7388, 0.7500, 0.3686)

=====

# 19
# YErMg2

Crystalline YErMg2 at its relaxed geometry (PBE-GGA, the Alexandria database).

Output
ΔH_f (0 K)   0.05 eV per atom
Uncorrected energy   -3.500 eV per atom
E above lowest polymorph   145 meV/atom

a b c (Å): 11.1774 11.1774 11.1774
angles (deg): 17.71 17.71 17.71
Fractional positions:
Y (0.0000, 0.0000, 0.0000)
Er (0.8307, 0.8307, 0.8307)
Mg (0.4158, 0.4158, 0.4158)
Mg (0.5816, 0.5816, 0.5816)

=====

# 20
# Ca2Hg8Au

Crystalline Ca2Hg8Au at its relaxed geometry (PBE-GGA, the Alexandria database).

Output
ΔH_f (0 K)   -0.22 eV per atom
Uncorrected energy   -1.102 eV per atom
E above lowest polymorph   70 meV/atom

a b c (Å): 6.7768 6.7768 8.0212
angles (deg): 111.65 111.65 88.07
Fractional positions:
Ca (0.2244, 0.2244, 0.0283)
Ca (0.7756, 0.7756, 0.9717)
Hg (0.0791, 0.6179, 0.2946)
Hg (0.1232, 0.1232, 0.3470)
Hg (0.3821, 0.9209, 0.7054)
Hg (0.3985, 0.3985, 0.7795)
Hg (0.6015, 0.6015, 0.2205)
Hg (0.6179, 0.0791, 0.2946)
Hg (0.8768, 0.8768, 0.6530)
Hg (0.9209, 0.3821, 0.7054)
Au (0.5000, 0.5000, 0.5000)